This record from the Alexandria database describes Ca2Ga4Ni3 after structural relaxation. The functional is PBE.

Computed properties:
Formation energy   -0.399 eV per atom
Final energy   -37.0 eV/f.u.
SG   Fmmm (69)

Unit cell a=5.298 b=5.298 c=6.919 alpha=101.25 beta=101.25 gamma=119.38
Sites, in units of the cell vectors:
Ca1 0.628 0.628 0.257
Ca2 0.372 0.372 0.743
Ga1 0.020 0.674 0.694
Ga2 0.674 0.020 0.694
Ga3 0.980 0.326 0.306
Ga4 0.326 0.980 0.306
Ni1 0.500 0.000 0.000
Ni2 0.000 0.000 0.000
Ni3 0.000 0.500 0.000